Rb2LiRhO4: optimized geometry, PBE-GGA.

abc: 11.8521 10.4646 6.6220
angles: 84.66 61.54 33.80
Closest atoms and distances in Å follow each position.
Sites, in units of the cell vectors:
Rb 0.0491 0.0491 0.7009  8 O 3.14-3.31
Rb 0.2991 0.2991 0.9509  8 O 3.14-3.31
Rb 0.7009 0.7009 0.0491  8 O 3.14-3.31
Rb 0.9509 0.9509 0.2991  8 O 3.14-3.31
Li 0.1250 0.1250 0.1250  4 O 1.95
Li 0.8750 0.8750 0.8750  4 O 1.95
Rh 0.3750 0.3750 0.3750  4 O 1.87
Rh 0.6250 0.6250 0.6250  4 O 1.87
O 0.0015 0.6588 0.5687  1 Rh 1.87, 1 Li 1.95
O 0.2710 0.5687 0.6588  1 Rh 1.87, 1 Li 1.95
O 0.3412 0.9985 0.7290  1 Rh 1.87, 1 Li 1.95
O 0.4313 0.7290 0.9985  1 Rh 1.87, 1 Li 1.95
O 0.5687 0.2710 0.0015  1 Rh 1.87, 1 Li 1.95
O 0.6588 0.0015 0.2710  1 Rh 1.87, 1 Li 1.95
O 0.7290 0.4313 0.3412  1 Rh 1.87, 1 Li 1.95
O 0.9985 0.3412 0.4313  1 Rh 1.87, 1 Li 1.95

Raw formation energy (eV per atom): -1.0941
Total moment (μB per atom): 0.00
DOS(E_F) (states/eV per cell): 1.17